Below is a relaxed ErCdAu4 crystal, with properties calculated at the GGA-PBE level.

Calculated values
Total magnetization ... 0.00 μB per cell
Relative energy among the computed polymorphs ... 0.231 eV per atom
Calculated formation energy ... -266 meV per atom
Fermi-level density of states ... 0.2847 states/eV/atom
Electronic total energy ... -20.2 eV/f.u.

Structure (CIF):
```
data_ErCdAu4
_space_group_name_H-M_alt 'C 1 2/m 1'
_space_group_IT_number 12
_cell_length_a 6.566
_cell_length_b 6.566
_cell_length_c 6.690
_cell_angle_alpha 90.00
_cell_angle_beta 90.08
_cell_angle_gamma 90.00
loop_
_space_group_symop_operation_xyz
'x,y,z'
'-x,-y,-z'
'-x,y,-z'
'x,-y,z'
'x+1/2,y+1/2,z'
'-x+1/2,-y+1/2,-z'
'-x+1/2,y+1/2,-z'
'x+1/2,-y+1/2,z'
loop_
_atom_site_label
_atom_site_type_symbol
_atom_site_fract_x
_atom_site_fract_y
_atom_site_fract_z
_atom_site_occupancy
Er1 Er 0.000 0.000 0.000 1
Cd1 Cd 0.000 0.500 0.500 1
Au1 Au 0.250 0.250 0.261 1
```